Entry 1:
Material: TaMn2Hg
Method: DFT, PBE
State: optimized geometry

abc: 3.209 3.209 6.150
angles: 90.00 90.00 90.00
Atoms (fractional coordinates):
Ta: 0.000 0.000 0.000
Mn: 0.500 0.500 0.223
Mn: 0.500 0.500 0.777
Hg: 0.000 0.000 0.500

Computed properties:
ΔE_f: 15.8 kJ/mol of atoms


Entry 2:
Material: SiP2PtS
Method: DFT, PBE
State: optimized geometry

abc: 4.461 4.461 4.301
angles: 90.00 90.00 90.00
Atoms (fractional coordinates):
Si: 0.000 0.000 0.000
P: 0.000 0.500 0.000
P: 0.500 0.000 0.000
Pt: 0.500 0.500 0.500
S: 0.000 0.000 0.500

Computed properties:
Polymorph energy (0 for the lowest one): 0 meV per atom
ΔE_f (raw): 793 meV per atom


Entry 3:
Material: YFeOs2
Method: DFT, PBE
State: optimized geometry

abc: 2.973 2.973 7.501
angles: 90.00 90.00 90.00
Atoms (fractional coordinates):
Y: 0.000 0.000 0.000
Fe: 0.500 0.500 0.284
Os: 0.000 0.000 0.481
Os: 0.500 0.500 0.698

Computed properties:
ΔE_f: 25.3 kJ/mol of atoms
Polymorph energy (0 for the lowest one): 30 meV per atom


Entry 4:
Material: CsSnO2
Method: DFT, PBE
State: optimized geometry

abc: 7.941 7.941 7.941
angles: 28.78 28.78 28.78
Atoms (fractional coordinates):
Cs: 0.000 0.000 0.000
Sn: 0.500 0.500 0.500
O: 0.416 0.416 0.416
O: 0.584 0.584 0.584

Computed properties:
ΔE_f (raw): -824 meV per atom


Entry 5:
Material: CuH2Cl
Method: DFT, PBE
State: optimized geometry

abc: 3.857 3.857 3.857
angles: 60.00 60.00 60.00
Atoms (fractional coordinates):
Cu: 0.000 0.000 0.000
H: 0.250 0.250 0.250
H: 0.750 0.750 0.750
Cl: 0.500 0.500 0.500

Computed properties:
Polymorph energy (0 for the lowest one): 1251 meV per atom


Entry 6:
Material: Cr2PtAuS
Method: DFT, PBE
State: optimized geometry

abc: 5.083 5.083 4.457
angles: 90.00 90.00 90.00
Atoms (fractional coordinates):
Cr: 0.000 0.500 0.000
Cr: 0.500 0.000 0.000
Pt: 0.000 0.000 0.500
Au: 0.500 0.500 0.000
S: 0.500 0.500 0.500

Computed properties:
ΔE_f (raw): 1283 meV per atom